The following is a DFT calculation (GGA-PBE) of an optimized crystal structure of Th3Ge6Pd2Rh.

Cell lengths 6.067, 6.067, 7.948 Å; angles 90.00, 90.00, 120.00 degrees
Fractional coordinates of all 12 atoms:
Th (0.000, 0.000, 0.000)
Th (0.333, 0.667, 0.646)
Th (0.667, 0.333, 0.354)
Ge (0.187, 0.375, 0.294)
Ge (0.187, 0.813, 0.294)
Ge (0.375, 0.187, 0.706)
Ge (0.625, 0.813, 0.294)
Ge (0.813, 0.187, 0.706)
Ge (0.813, 0.625, 0.706)
Pd (0.333, 0.667, 0.014)
Pd (0.667, 0.333, 0.986)
Rh (0.000, 0.000, 0.500)

Theoretical density ... 9.488 g/cm³
ΔH_f (0 K) ... -0.4865 eV per atom
Fermi-level density of states ... 0.525 states/eV/atom